# 1
This record from Alexandria via LeMat-Bulk describes a relaxed DyHf crystal. The functional is PBE-GGA.

extended XYZ file:
```
4
Lattice="3.326 0.000 0.313 0.000 5.258 0.000 -0.559 0.000 5.957" Properties=species:S:1:pos:R:3 pbc="T T T"
Hf 2.175 3.943 3.628
Hf 0.592 1.314 2.641
Dy 0.775 3.943 0.669
Dy 1.991 1.314 5.600
```



# 2
This record from Alexandria via LeMat-Bulk describes a relaxed DyHf11 crystal. The functional is PBE-GGA.

extended XYZ file:
```
12
Lattice="-0.837 2.433 -1.793 -9.432 -0.613 3.568 6.810 5.801 4.695" Properties=species:S:1:pos:R:3 pbc="T T T"
Dy 0.000 0.000 0.000
Hf -4.716 -0.306 1.784
Hf 3.405 2.901 2.347
Hf -1.311 2.594 4.132
Hf 0.325 3.167 1.403
Hf -2.558 2.029 1.203
Hf -6.968 1.742 2.872
Hf 3.509 5.879 3.598
Hf -0.901 5.593 5.267
Hf -3.783 4.455 5.067
Hf -4.018 1.525 3.944
Hf 1.396 3.663 4.319
```



# 3
This record from Alexandria via LeMat-Bulk describes a relaxed DyHfHg crystal. The functional is PBE-GGA.

## Properties
The energy above the lowest structure with this stoichiometry comes out at 2 kJ/mol of formula units.

extended XYZ file:
```
6
Lattice="4.393 0.026 -0.200 -0.037 4.393 -0.200 -1.820 -1.847 8.041" Properties=species:S:1:pos:R:3 pbc="T T T"
Hg 2.443 2.479 5.581
Hg 0.093 0.094 2.059
Dy 0.235 0.238 5.127
Dy 2.301 2.334 2.513
Hf 2.197 0.013 -0.100
Hf -0.019 2.197 -0.100
```



# 4
This record from Alexandria via LeMat-Bulk describes a relaxed DyHfHg crystal. The functional is PBE-GGA.

## Properties
The energy above the lowest structure with this stoichiometry comes out at 0 kJ/mol of formula units.

extended XYZ file:
```
3
Lattice="-2.942 0.561 1.587 -1.454 -2.457 -1.826 3.793 -3.310 4.579" Properties=species:S:1:pos:R:3 pbc="T T T"
Hf 1.037 -2.770 2.901
Hg -1.639 -2.441 1.444
Dy -0.605 -5.202 4.336
```



# 5
This record from Alexandria via LeMat-Bulk describes a relaxed Dy2HfHg crystal. The functional is PBE-GGA.

## Properties
The energy above the lowest structure with this stoichiometry comes out at 0 kJ/mol of formula units.

extended XYZ file:
```
4
Lattice="3.432 0.000 0.000 0.000 3.432 0.000 0.000 0.000 8.835" Properties=species:S:1:pos:R:3 pbc="T T T"
Hf 1.716 1.716 4.418
Hg 1.716 1.716 0.000
Dy 0.000 0.000 6.684
Dy 0.000 0.000 2.151
```



# 6
This record from Alexandria via LeMat-Bulk describes a relaxed DyHfHg2 crystal. The functional is PBE-GGA.

## Properties
The energy above the lowest structure with this stoichiometry comes out at 0 kJ/mol of formula units.

extended XYZ file:
```
4
Lattice="-1.524 -1.116 -3.059 0.934 -3.386 0.770 -6.254 -0.939 3.459" Properties=species:S:1:pos:R:3 pbc="T T T"
Hf -0.295 -2.251 -1.145
Hg -4.809 -0.722 2.660
Hg -1.445 -0.217 0.799
Dy -3.422 -2.720 0.585
```



Which M_tot belongs to each record? In order, 0.00; 0.00; 0.00; 0.00; 0.00; 0.63 μB/f.u..
Which formation energy belongs to each record? In order, 0.124; 0.080; -0.149; -0.155; -0.166; -0.200 eV/atom.